Material: Tb2Dy3HoS6
Method: DFT, PBE
State: optimized geometry

It has space group C2/m (No. 12), with a = 6.754 Å, b = 11.750 Å, c = 6.768 Å, α = 90.00°, β = 109.49° and γ = 90.00°. The inequivalent atoms are Tb at (0.000, 0.167, 0.000), Dy at (0.000, 0.000, 0.500), Dy at (0.000, 0.332, 0.500), Ho at (0.000, 0.500, 0.000), S at (0.247, 0.500, 0.749) and S at (0.249, 0.335, 0.250).

The value obtained for the formation energy without anion corrections is -2.00 eV/atom. The raw total energy is -152.8 eV for the cell shown.



Material: MgZn4Cu3
Method: DFT, PBE
State: optimized geometry

It has space group Pmma (No. 51), with a = 8.527 Å, b = 6.143 Å, c = 4.287 Å, α = 90.00°, β = 90.00° and γ = 90.00°. The inequivalent atoms are Mg at (0.000, 0.000, 0.000), Zn at (0.000, 0.271, 0.500), Zn at (0.250, 0.271, 0.043), Cu at (0.000, 0.500, 0.000), Cu at (0.250, 0.000, 0.530) and Cu at (0.250, 0.500, 0.549).

The energy of formation comes out at -0.069 eV per atom. The raw total energy is -39.1 eV for the cell shown.



Material: InPd3Au3
Method: DFT, PBE
State: optimized geometry

It has space group Cmmm (No. 65), with a = 9.162 Å, b = 9.226 Å, c = 6.053 Å, α = 90.00°, β = 90.00° and γ = 90.00°. The inequivalent atoms are In at (0.000, 0.238, 0.000), Pd at (0.000, 0.500, 0.252), Pd at (0.250, 0.250, 0.247), Au at (0.000, 0.227, 0.500), Au at (0.227, 0.000, 0.000) and Au at (0.228, 0.000, 0.500).

The energy of formation comes out at -0.187 eV per atom. The raw total energy is -117.8 eV for the cell shown.



Material: KRbZnF6
Method: DFT, PBE
State: optimized geometry

It has space group Cm (No. 8), with a = 10.165 Å, b = 5.864 Å, c = 4.911 Å, α = 90.00°, β = 90.07° and γ = 90.00°. The inequivalent atoms are K at (0.000, 0.000, 0.000), Rb at (0.167, 0.500, 0.553), Zn at (0.333, 0.000, 0.259), F at (0.174, 0.000, 0.472), F at (0.254, 0.238, 0.041), F at (0.413, 0.239, 0.473) and F at (0.492, 0.000, 0.042).

The value obtained for the formation energy without anion corrections is -2.03 eV/atom. The raw total energy is -65.6 eV for the cell shown.



Material: AcCeGaRh
Method: DFT, PBE
State: optimized geometry

It has space group F-43m (No. 216), with a = 7.390 Å, b = 7.390 Å, c = 7.390 Å, α = 90.00°, β = 90.00° and γ = 90.00°. The inequivalent atoms are Ac at (0.000, 0.000, 0.000), Ce at (0.000, 0.000, 0.500), Ga at (0.250, 0.250, 0.750) and Rh at (0.250, 0.250, 0.250).

The energy of formation comes out at -0.424 eV per atom. The raw total energy is -88.5 eV for the cell shown.



Material: La4IrPtSe2
Method: DFT, PBE
State: optimized geometry

It has space group P2/m (No. 10), with a = 7.280 Å, b = 4.204 Å, c = 7.780 Å, α = 90.00°, β = 108.12° and γ = 90.00°. The inequivalent atoms are La at (0.237, 0.000, 0.227), La at (0.251, 0.500, 0.771), Ir at (0.000, 0.500, 0.000), Pt at (0.500, 0.000, 0.000), Se at (0.000, 0.000, 0.500) and Se at (0.500, 0.500, 0.500).

The value obtained for the formation energy without anion corrections is -1.45 eV/atom. The raw total energy is -53.2 eV for the cell shown.



Material: LaScOs2
Method: DFT, PBE
State: optimized geometry

It has space group R3m (No. 160, hexagonal axes), with a = 2.9987 Å, b = 2.9987 Å, c = 30.7301 Å, α = 90.00°, β = 90.00° and γ = 120.00°. The inequivalent atoms are La at (0.0000, 0.0000, 0.0000), Sc at (0.0000, 0.0000, 0.2251), Os at (0.0000, 0.0000, 0.4862) and Os at (0.0000, 0.0000, 0.7547).

The energy of formation comes out at 0.529 eV per atom. The raw total energy is -94.8 eV for the cell shown.



Material: Mg2AgAs
Method: DFT, PBE
State: optimized geometry

It has space group C2/m (No. 12), with a = 7.720 Å, b = 3.136 Å, c = 6.958 Å, α = 90.00°, β = 101.26° and γ = 90.00°. The inequivalent atoms are Mg at (0.248, 0.000, 0.257), Ag at (0.000, 0.500, 0.000) and As at (0.000, 0.000, 0.500).

The energy of formation comes out at -0.182 eV per atom. The raw total energy is -22.8 eV for the cell shown.



Material: ZnSnRh2F
Method: DFT, PBE
State: optimized geometry

It has space group P4/mmm (No. 123), with a = 4.975 Å, b = 4.975 Å, c = 4.196 Å, α = 90.00°, β = 90.00° and γ = 90.00°. The inequivalent atoms are Zn at (0.000, 0.000, 0.000), Sn at (0.500, 0.500, 0.500), Rh at (0.000, 0.500, 0.500) and F at (0.500, 0.500, 0.000).

The value obtained for the formation energy without anion corrections is 0.17 eV/atom. The raw total energy is -21.0 eV for the cell shown.



Material: Ac8PRu3Cl4
Method: DFT, PBE
State: optimized geometry

It has space group C2/m (No. 12), with a = 15.082 Å, b = 8.708 Å, c = 9.343 Å, α = 90.00°, β = 122.61° and γ = 90.00°. The inequivalent atoms are Ac at (0.019, 0.241, 0.300), Ac at (0.238, 0.000, 0.713), Ac at (0.240, 0.500, 0.700), P at (0.000, 0.500, 0.500), Ru at (0.000, 0.000, 0.500), Ru at (0.250, 0.250, 0.500), Cl at (0.000, 0.000, 0.000), Cl at (0.000, 0.500, 0.000) and Cl at (0.250, 0.250, 0.000).

The value obtained for the formation energy without anion corrections is -1.07 eV/atom. The raw total energy is -181.3 eV for the cell shown.



Material: SrMnAg
Method: DFT, PBE
State: optimized geometry

It has space group P-6m2 (No. 187), with a = 4.6668 Å, b = 4.6668 Å, c = 4.3238 Å, α = 90.00°, β = 90.00° and γ = 120.00°. The inequivalent atoms are Sr at (0.0000, 0.0000, 0.0000), Mn at (0.3333, 0.6667, 0.5000) and Ag at (0.6667, 0.3333, 0.5000).

The energy of formation comes out at 0.221 eV per atom. The raw total energy is -13.0 eV for the cell shown.



Material: ErThCu2
Method: DFT, PBE
State: optimized geometry

It has space group R-3m (No. 166, hexagonal axes), with a = 3.7777 Å, b = 3.7777 Å, c = 23.0313 Å, α = 90.00°, β = 90.00° and γ = 120.00°. The inequivalent atoms are Er at (0.0000, 0.0000, 0.0000), Th at (0.0000, 0.0000, 0.5000) and Cu at (0.0000, 0.0000, 0.2519).

The energy of formation comes out at 0.050 eV per atom. The raw total energy is -59.9 eV for the cell shown.



Material: CePPd6
Method: DFT, PBE
State: optimized geometry

It has space group R-3m (No. 166, hexagonal axes), with a = 5.6304 Å, b = 5.6304 Å, c = 16.9775 Å, α = 90.00°, β = 90.00° and γ = 120.00°. The inequivalent atoms are Ce at (0.0000, 0.0000, 0.0000), P at (0.0000, 0.0000, 0.5000) and Pd at (0.0123, 0.5062, 0.9207).

The energy of formation comes out at -0.433 eV per atom. The raw total energy is -137.9 eV for the cell shown.



Material: La11Cd9Ag4
Method: DFT, PBE
State: optimized geometry

It has space group Cmmm (No. 65), with a = 15.330 Å, b = 23.125 Å, c = 3.891 Å, α = 90.00°, β = 90.00° and γ = 90.00°. The inequivalent atoms are La at (0.000, 0.000, 0.000), La at (0.000, 0.166, 0.000), La at (0.000, 0.370, 0.000), La at (0.208, 0.500, 0.000), La at (0.232, 0.178, 0.000), Cd at (0.000, 0.500, 0.500), Cd at (0.102, 0.267, 0.500), Cd at (0.141, 0.073, 0.500) and Ag at (0.155, 0.399, 0.500).

The energy of formation comes out at -0.318 eV per atom. The raw total energy is -163.0 eV for the cell shown.



Material: FeAsSe2
Method: DFT, PBE
State: optimized geometry

It has space group Pm (No. 6), with a = 4.389 Å, b = 3.808 Å, c = 5.216 Å, α = 90.00°, β = 90.98° and γ = 90.00°. The inequivalent atoms are Fe at (0.000, 0.000, 0.000), As at (0.901, 0.500, 0.733), Se at (0.062, 0.500, 0.277) and Se at (0.466, 0.000, 0.792).

The value obtained for the formation energy without anion corrections is 0.04 eV/atom. The raw total energy is -19.9 eV for the cell shown.



Material: LiScTlZn
Method: DFT, PBE
State: optimized geometry

It has space group F-43m (No. 216), with a = 6.776 Å, b = 6.776 Å, c = 6.776 Å, α = 90.00°, β = 90.00° and γ = 90.00°. The inequivalent atoms are Li at (0.000, 0.000, 0.000), Sc at (0.000, 0.000, 0.500), Tl at (0.250, 0.250, 0.750) and Zn at (0.250, 0.250, 0.250).

The energy of formation comes out at -0.249 eV per atom. The raw total energy is -51.5 eV for the cell shown.



Material: NaAlInBi
Method: DFT, PBE
State: optimized geometry

It has space group F-43m (No. 216), with a = 7.491 Å, b = 7.491 Å, c = 7.491 Å, α = 90.00°, β = 90.00° and γ = 90.00°. The inequivalent atoms are Na at (0.000, 0.000, 0.000), Al at (0.000, 0.000, 0.500), In at (0.250, 0.250, 0.250) and Bi at (0.250, 0.250, 0.750).

The energy of formation comes out at 0.024 eV per atom. The raw total energy is -46.3 eV for the cell shown.



Material: Er12Tm7Hf
Method: DFT, PBE
State: optimized geometry

It has space group R-3 (No. 148, hexagonal axes), with a = 12.5339 Å, b = 12.5339 Å, c = 13.5478 Å, α = 90.00°, β = 90.00° and γ = 120.00°. The inequivalent atoms are Er at (0.0017, 0.4366, 0.2473), Er at (0.0667, 0.1983, 0.3444), Tm at (0.0000, 0.0000, 0.5000), Tm at (0.0673, 0.8693, 0.8548) and Hf at (0.0000, 0.0000, 0.0000).

The energy of formation comes out at 0.314 eV per atom. The raw total energy is -269.2 eV for the cell shown.



Material: CaHgAs2Br
Method: DFT, PBE
State: optimized geometry

It has space group P4/mmm (No. 123), with a = 5.116 Å, b = 5.116 Å, c = 6.028 Å, α = 90.00°, β = 90.00° and γ = 90.00°. The inequivalent atoms are Ca at (0.000, 0.000, 0.000), Hg at (0.500, 0.500, 0.500), As at (0.000, 0.500, 0.500) and Br at (0.500, 0.500, 0.000).

The value obtained for the formation energy without anion corrections is 0.07 eV/atom. The raw total energy is -12.9 eV for the cell shown.



Material: LaPmPd4
Method: DFT, PBE
State: optimized geometry

It has space group Cmcm (No. 63), with a = 4.301 Å, b = 19.995 Å, c = 5.895 Å, α = 90.00°, β = 90.00° and γ = 90.00°. The inequivalent atoms are La at (0.000, 0.221, 0.250), Pm at (0.000, 0.076, 0.750), Pd at (0.000, 0.072, 0.250), Pd at (0.000, 0.355, 0.512) and Pd at (0.000, 0.500, 0.000).

The energy of formation comes out at -0.811 eV per atom. The raw total energy is -141.3 eV for the cell shown.